(1)
The following is a PBE calculation of a relaxed Cs2MoOsBr6 crystal, from Alexandria via LeMat-Bulk.

## Properties
* formation energy from raw total energies: -503 meV per atom
* E: -3.883 eV per atom
* crystal system: tetragonal

a = 7.5921 Å, b = 7.5921 Å, c = 10.6954 Å
α = 90.00°, β = 90.00°, γ = 90.00°
Space group I4/mmm (No. 139)
Unique sites:
Cs 0.0000 0.5000 0.2500
Mo 0.0000 0.0000 0.0000
Os 0.0000 0.0000 0.5000
Br 0.0000 0.0000 0.2558
Br 0.2437 0.2437 0.5000

---

(2)
The following is a PBE calculation of a relaxed CsRbMoBr6 crystal, from Alexandria via LeMat-Bulk.

## Properties
* formation energy from raw total energies: -1065 meV per atom
* E: -3.586 eV per atom
* crystal system: trigonal

a = 8.1584 Å, b = 8.1584 Å, c = 7.0563 Å
α = 90.00°, β = 90.00°, γ = 120.00°
Space group P312 (No. 149)
Unique sites:
Cs 0.0000 0.0000 0.0000
Rb 0.3333 0.6667 0.5000
Mo 0.6667 0.3333 0.5000
Br 0.4116 0.0778 0.7125

---

(3)
The following is a PBE calculation of a relaxed CsRb2MoBr6 crystal, from Alexandria via LeMat-Bulk.

## Properties
* formation energy from raw total energies: -1258 meV per atom
* polymorph energy (0 for the lowest one): 0 kJ/mol of formula units
* E: -3.624 eV per atom
* crystal system: orthorhombic

a = 7.7036 Å, b = 11.8001 Å, c = 9.6930 Å
α = 90.00°, β = 90.00°, γ = 90.00°
Space group Pmmn (No. 59, origin choice 2)
Unique sites:
Cs 0.2500 0.2500 0.1699
Rb 0.2500 0.0521 0.6601
Mo 0.2500 0.7500 0.3216
Br 0.0055 0.7500 0.1349
Br 0.0165 0.7500 0.5199
Br 0.2500 0.5276 0.3172

---

Please write out number 1 again, unchanged.
The following is a PBE calculation of a relaxed Cs2MoOsBr6 crystal, from Alexandria via LeMat-Bulk.

## Properties
* formation energy from raw total energies: -503 meV per atom
* E: -3.883 eV per atom
* crystal system: tetragonal

a = 7.5921 Å, b = 7.5921 Å, c = 10.6954 Å
α = 90.00°, β = 90.00°, γ = 90.00°
Space group I4/mmm (No. 139)
Unique sites:
Cs 0.0000 0.5000 0.2500
Mo 0.0000 0.0000 0.0000
Os 0.0000 0.0000 0.5000
Br 0.0000 0.0000 0.2558
Br 0.2437 0.2437 0.5000

---

Question: What is the E in the third record?
Answer: -3.624 eV per atom